The following is a DFT calculation (PBE with a Hubbard U) of a relaxed Co3AsF crystal.

- VASP energy: -3.907 eV per atom

```
5
Lattice="4.566 0.000 0.000 0.000 4.566 0.000 0.000 0.000 4.566" Properties=species:S:1:pos:R:3 pbc="T T T"
Co 0.000 0.000 2.283
Co 0.000 2.283 0.000
Co 2.283 0.000 0.000
As 0.000 0.000 0.000
F 2.283 2.283 2.283
```